A plane-wave DFT calculation with SCAN was carried out for Li3LaGa at its PBEsol-relaxed geometry.

Values from the calculation:
space group: Pm-3m (221)
energy: -13.387 eV/atom
ΔH_f (0 K): -63 meV per atom

Structure (POSCAR):
```
Li3LaGa
1.0
4.777 0.000 0.000
0.000 4.777 0.000
0.000 0.000 4.777
La Li Ga
1 3 1
Direct
0.500 0.500 0.500
0.500 0.000 0.000
0.000 0.000 0.500
0.000 0.500 0.000
0.000 0.000 0.000
```



A plane-wave DFT calculation with SCAN was carried out for CoNi2F at its PBEsol-relaxed geometry.

Values from the calculation:
space group: Fm-3m (225)
energy: -13.142 eV/atom

Structure (POSCAR):
```
CoNi2F
1.0
-1.188 -3.573 -1.012
2.621 -2.801 -0.701
0.398 -2.967 2.498
Co F Ni
1 1 2
Direct
0.500 0.500 0.500
0.000 0.000 0.000
0.250 0.250 0.250
0.750 0.750 0.750
```



A plane-wave DFT calculation with SCAN was carried out for Ho2MgGe2 at its PBEsol-relaxed geometry.

Values from the calculation:
space group: P4/mbm (127)
energy: -29.067 eV/atom
ΔH_f (0 K): -842 meV per atom

Structure (POSCAR):
```
Ho2MgGe2
1.0
4.157 0.000 0.000
0.000 7.160 0.000
0.000 0.000 7.160
Ge Ho Mg
4 4 2
Direct
0.000 0.876 0.376
0.000 0.624 0.876
0.000 0.376 0.124
0.000 0.124 0.624
0.500 0.823 0.677
0.500 0.677 0.177
0.500 0.177 0.323
0.500 0.323 0.823
0.000 0.000 0.000
0.000 0.500 0.500
```



A plane-wave DFT calculation with SCAN was carried out for SrPt2Pb at its PBEsol-relaxed geometry.

Values from the calculation:
space group: Imm2 (44)
energy: -60.042 eV/atom
ΔH_f (0 K): -432 meV per atom

Structure (POSCAR):
```
SrPt2Pb
1.0
3.546 0.000 0.000
0.000 4.869 0.000
-1.773 -2.434 5.001
Pb Pt Sr
1 2 1
Direct
0.281 0.781 0.562
0.008 0.008 0.015
0.714 0.214 0.428
0.497 0.497 0.995
```



A plane-wave DFT calculation with SCAN was carried out for LiCa3Zr3TaO12 at its PBEsol-relaxed geometry.

Values from the calculation:
space group: P2_1 (4)
energy: -16.701 eV/atom

Structure (POSCAR):
```
LiCa3Zr3TaO12
1.0
-2.939 -0.321 -4.612
-4.752 -0.711 3.078
-2.136 15.629 0.314
O Ca Ta Zr Li
24 6 2 6 2
Direct
0.441 0.692 0.844
0.079 0.307 0.398
0.363 0.010 0.496
0.359 0.955 0.000
0.641 0.455 0.000
0.921 0.807 0.602
0.053 0.297 0.903
0.455 0.727 0.349
0.150 0.035 0.256
0.850 0.535 0.744
0.945 0.821 0.400
0.055 0.296 0.098
0.559 0.192 0.156
0.538 0.213 0.347
0.637 0.510 0.504
0.462 0.713 0.653
0.945 0.796 0.902
0.947 0.797 0.097
0.557 0.193 0.843
0.855 0.539 0.254
0.545 0.227 0.651
0.055 0.321 0.600
0.145 0.039 0.746
0.443 0.693 0.157
0.267 0.444 0.258
0.265 0.444 0.742
0.733 0.944 0.742
0.735 0.944 0.258
0.233 0.551 0.000
0.767 0.051 0.000
0.757 0.487 0.620
0.243 0.987 0.380
0.747 0.497 0.873
0.237 0.981 0.619
0.251 0.997 0.873
0.749 0.497 0.127
0.253 0.997 0.127
0.763 0.481 0.381
0.713 0.878 0.500
0.287 0.378 0.500
```



A plane-wave DFT calculation with SCAN was carried out for OsRu2 at its PBEsol-relaxed geometry.

Values from the calculation:
space group: Fm-3m (225)
energy: -46.587 eV/atom
ΔH_f (0 K): 590 meV per atom
energy above the lowest structure with this stoichiometry: 0.6081 eV/atom

Structure (POSCAR):
```
OsRu2
1.0
-1.324 -2.363 -3.069
1.885 -3.541 -0.817
-1.871 -3.550 0.811
Ru Os
2 1
Direct
0.250 0.250 0.250
0.750 0.750 0.750
0.000 0.000 0.000
```